This record from Alexandria describes TbPmDy2Tm6 after structural relaxation. The functional is GGA-PBE.

abc: 9.452 8.706 8.706
angles: 117.85 93.73 93.73
Positions (direct):
Tb 0.250 0.409 0.591
Tb 0.750 0.591 0.409
Pm 0.250 0.975 0.025
Pm 0.750 0.025 0.975
Dy 0.454 0.804 0.698
Dy 0.046 0.302 0.196
Dy 0.546 0.196 0.302
Dy 0.954 0.698 0.804
Tm 0.058 0.125 0.749
Tm 0.442 0.251 0.875
Tm 0.942 0.875 0.251
Tm 0.558 0.749 0.125
Tm 0.317 0.979 0.431
Tm 0.183 0.569 0.021
Tm 0.683 0.021 0.569
Tm 0.817 0.431 0.979
Tm 0.118 0.709 0.492
Tm 0.382 0.508 0.291
Tm 0.882 0.291 0.508
Tm 0.618 0.492 0.709

Results
crystal system: monoclinic
magnetization: 0.0 μB/cell
calculated formation energy: 0.124 eV/atom
space-group type: C2/c
Fermi-level density of states: 28.88 states/eV per cell